Record 1
Entry from the Open Quantum Materials Database: NbSiNiHg after structural relaxation (PBE).

Values from the calculation:
distance to the lowest polymorph of the same formula: 0.000 eV/atom
E: -5.12 eV per atom

a = 6.334 Å, b = 6.334 Å, c = 6.334 Å
α = 90.00°, β = 90.00°, γ = 90.00°
Space group F-43m (No. 216)
Inequivalent atoms, fractional coordinates:
Nb1 0.000 0.000 0.000
Si1 0.250 0.250 0.250
Ni1 0.000 0.000 0.500
Hg1 0.250 0.250 0.750

Record 2
Entry from the Open Quantum Materials Database: BaFeNiS3 after structural relaxation (PBE).

Values from the calculation:
distance to the lowest polymorph of the same formula: 0.000 eV/atom
E: -5.49 eV per atom

a = 3.752 Å, b = 13.483 Å, c = 9.217 Å
α = 90.00°, β = 90.00°, γ = 90.00°
Space group Cmcm (No. 63)
Inequivalent atoms, fractional coordinates:
Ba1 0.000 0.249 0.250
Fe1 0.000 0.500 0.000
Ni1 0.000 0.031 0.750
S1 0.000 0.121 0.547
S2 0.000 0.443 0.750

Record 3
Entry from the Open Quantum Materials Database: Co3Au after structural relaxation (PBE).

Values from the calculation:
energy relative to the elements: 0.139 eV/atom
E: -6.01 eV per atom

a = 5.2690 Å, b = 5.2690 Å, c = 4.1876 Å
α = 90.00°, β = 90.00°, γ = 120.00°
Space group P6_3/mmc (No. 194)
Inequivalent atoms, fractional coordinates:
Co1 0.1557 0.3113 0.2500
Au1 0.3333 0.6667 0.7500

Record 4
Entry from the Open Quantum Materials Database: LaZnInSe3 after structural relaxation (PBE).

Values from the calculation:
distance to the lowest polymorph of the same formula: 0.024 eV/atom
E: -4.32 eV per atom

a = 8.238 Å, b = 4.257 Å, c = 10.607 Å
α = 90.00°, β = 104.79°, γ = 90.00°
Space group P2_1/m (No. 11)
Inequivalent atoms, fractional coordinates:
La1 0.213 0.250 0.133
Zn1 0.432 0.750 0.392
In1 0.214 0.750 0.699
Se1 0.040 0.250 0.850
Se2 0.284 0.250 0.439
Se3 0.476 0.750 0.170

Record 5
Entry from the Open Quantum Materials Database: SrUTa after structural relaxation (PBE).

Values from the calculation:
distance to the lowest polymorph of the same formula: 0.000 eV/atom
E: -6.31 eV per atom

a = 7.129 Å, b = 7.129 Å, c = 7.129 Å
α = 90.00°, β = 90.00°, γ = 90.00°
Space group F-43m (No. 216)
Inequivalent atoms, fractional coordinates:
Sr1 0.000 0.000 0.000
U1 0.250 0.250 0.250
Ta1 0.000 0.000 0.500

Record 6
Entry from the Open Quantum Materials Database: Cs2ThTe3 after structural relaxation (PBE).

Values from the calculation:
distance to the lowest polymorph of the same formula: 0.171 eV/atom
E: -4.16 eV per atom

a = 4.708 Å, b = 22.034 Å, c = 13.464 Å
α = 90.00°, β = 90.00°, γ = 90.00°
Space group Cmcm (No. 63)
Inequivalent atoms, fractional coordinates:
Cs1 0.000 0.134 0.250
Cs2 0.000 0.135 0.750
Th1 0.000 0.500 0.000
Te1 0.000 0.094 0.000
Te2 0.000 0.500 0.250

Record 7
Entry from the Open Quantum Materials Database: TmInIr after structural relaxation (PBE).

Values from the calculation:
E: -5.23 eV per atom

a = 6.647 Å, b = 6.647 Å, c = 6.647 Å
α = 90.00°, β = 90.00°, γ = 90.00°
Space group F-43m (No. 216)
Inequivalent atoms, fractional coordinates:
Tm1 0.000 0.000 0.000
In1 0.250 0.250 0.750
Ir1 0.250 0.250 0.250

Record 8
Entry from the Open Quantum Materials Database: MgZn2O4 after structural relaxation (PBE).

Values from the calculation:
E: -4.73 eV per atom

a = 8.469 Å, b = 8.469 Å, c = 8.469 Å
α = 90.00°, β = 90.00°, γ = 90.00°
Space group Fd-3m (No. 227, origin choice 2)
Inequivalent atoms, fractional coordinates:
Mg1 0.125 0.125 0.125
Zn1 0.000 0.000 0.500
O1 0.009 0.009 0.741

Record 9
Entry from the Open Quantum Materials Database: ErTm2Ga3Ge2Pd after structural relaxation (PBE).

Values from the calculation:
E: -4.88 eV per atom

a = 4.201 Å, b = 12.062 Å, c = 6.951 Å
α = 90.00°, β = 90.00°, γ = 90.00°
Space group Amm2 (No. 38)
Inequivalent atoms, fractional coordinates:
Er1 0.000 0.000 0.000
Tm1 0.000 0.205 0.384
Ga1 0.500 0.000 0.350
Ga2 0.500 0.120 0.708
Ge1 0.500 0.167 0.089
Pd1 0.000 0.000 0.588

Record 10
Entry from the Open Quantum Materials Database: CsTl3Pd after structural relaxation (PBE).

Values from the calculation:
distance to the lowest polymorph of the same formula: 0.029 eV/atom
E: -2.74 eV per atom

a = 7.603 Å, b = 5.481 Å, c = 9.763 Å
α = 90.00°, β = 112.91°, γ = 90.00°
Space group P2_1/m (No. 11)
Inequivalent atoms, fractional coordinates:
Cs1 0.202 0.250 0.404
Tl1 0.147 0.250 0.866
Tl2 0.277 0.750 0.131
Tl3 0.364 0.750 0.727
Pd1 0.500 0.000 0.000

Record 11
Entry from the Open Quantum Materials Database: Ga2NiW after structural relaxation (PBE).

Values from the calculation:
E: -5.80 eV per atom

a = 6.137 Å, b = 6.137 Å, c = 6.137 Å
α = 90.00°, β = 90.00°, γ = 90.00°
Space group F-43m (No. 216)
Inequivalent atoms, fractional coordinates:
Ga1 0.000 0.000 0.000
Ga2 0.250 0.250 0.250
Ni1 0.250 0.250 0.750
W1 0.000 0.000 0.500

Record 12
Entry from the Open Quantum Materials Database: LaTbCo2Ge2C after structural relaxation (PBE).

Values from the calculation:
E: -6.61 eV per atom

a = 11.020 Å, b = 4.031 Å, c = 7.039 Å
α = 90.00°, β = 128.81°, γ = 90.00°
Space group Cm (No. 8)
Inequivalent atoms, fractional coordinates:
La1 0.000 0.000 0.000
Tb1 0.383 0.500 0.409
Co1 0.126 0.500 0.776
Co2 0.252 0.000 0.621
Ge1 0.112 0.500 0.424
Ge2 0.269 0.000 0.982
C1 0.436 0.000 0.687

Record 13
Entry from the Open Quantum Materials Database: Nb4NiPN2 after structural relaxation (PBE).

Values from the calculation:
E: -9.16 eV per atom

a = 3.2316 Å, b = 3.2316 Å, c = 11.9418 Å
α = 90.00°, β = 90.00°, γ = 120.00°
Space group P-6m2 (No. 187)
Inequivalent atoms, fractional coordinates:
Nb1 0.0000 0.0000 0.1461
Nb2 0.3333 0.6667 0.3432
Ni1 0.0000 0.0000 0.5000
P1 0.3333 0.6667 0.0000
N1 0.6667 0.3333 0.2513

Record 14
Entry from the Open Quantum Materials Database: Sc2InAu2 after structural relaxation (PBE).

Values from the calculation:
E: -5.13 eV per atom

a = 7.671 Å, b = 7.671 Å, c = 6.949 Å
α = 90.00°, β = 90.00°, γ = 90.00°
Space group P4_2/mnm (No. 136)
Inequivalent atoms, fractional coordinates:
Sc1 0.157 0.157 0.000
Sc2 0.175 0.175 0.500
In1 0.000 0.500 0.250
Au1 0.131 0.869 0.268

Record 15
Entry from the Open Quantum Materials Database: Nd2Mg4IrAu after structural relaxation (PBE).

Values from the calculation:
E: -3.96 eV per atom

a = 8.318 Å, b = 4.298 Å, c = 10.449 Å
α = 90.00°, β = 90.00°, γ = 90.00°
Space group Amm2 (No. 38)
Inequivalent atoms, fractional coordinates:
Nd1 0.000 0.000 0.000
Nd2 0.500 0.000 0.125
Mg1 0.203 0.000 0.711
Mg2 0.311 0.000 0.408
Ir1 0.500 0.000 0.832
Au1 0.000 0.000 0.289

Record 16
Entry from the Open Quantum Materials Database: BiTeWAu after structural relaxation (PBE).

Values from the calculation:
distance to the lowest polymorph of the same formula: 0.000 eV/atom
E: -5.02 eV per atom

a = 7.077 Å, b = 7.077 Å, c = 7.077 Å
α = 90.00°, β = 90.00°, γ = 90.00°
Space group F-43m (No. 216)
Inequivalent atoms, fractional coordinates:
Bi1 0.000 0.000 0.000
Te1 0.000 0.000 0.500
W1 0.250 0.250 0.750
Au1 0.250 0.250 0.250

Record 17
Entry from the Open Quantum Materials Database: YCoAgSb after structural relaxation (PBE).

Values from the calculation:
distance to the lowest polymorph of the same formula: 0.082 eV/atom
E: -5.21 eV per atom

a = 6.817 Å, b = 6.817 Å, c = 6.817 Å
α = 90.00°, β = 90.00°, γ = 90.00°
Space group F-43m (No. 216)
Inequivalent atoms, fractional coordinates:
Y1 0.000 0.000 0.000
Co1 0.000 0.000 0.500
Ag1 0.250 0.250 0.750
Sb1 0.250 0.250 0.250

Record 18
Entry from the Open Quantum Materials Database: Dy2Si2O7 after structural relaxation (PBE).

Values from the calculation:
E: -8.21 eV per atom

a = 4.691 Å, b = 10.826 Å, c = 5.556 Å
α = 90.00°, β = 95.92°, γ = 90.00°
Space group P2_1/c (No. 14)
Inequivalent atoms, fractional coordinates:
Dy1 0.114 0.150 0.406
Si1 0.360 0.613 0.644
O1 0.121 0.683 0.459
O2 0.207 0.552 0.869
O3 0.382 0.204 0.747
O4 0.500 0.000 0.000

Record 19
Entry from the Open Quantum Materials Database: SrDyCuSeS2 after structural relaxation (PBE).

Values from the calculation:
E: -5.26 eV per atom

a = 3.975 Å, b = 13.366 Å, c = 10.521 Å
α = 90.00°, β = 90.00°, γ = 90.00°
Space group Cmcm (No. 63)
Inequivalent atoms, fractional coordinates:
Sr1 0.000 0.237 0.250
Dy1 0.000 0.000 0.000
Cu1 0.000 0.472 0.750
Se1 0.000 0.086 0.750
S1 0.000 0.369 0.572

Record 20
Entry from the Open Quantum Materials Database: GdZr2ScSb2 after structural relaxation (PBE).

Values from the calculation:
E: -6.82 eV per atom

a = 4.227 Å, b = 4.227 Å, c = 16.422 Å
α = 90.00°, β = 90.00°, γ = 90.00°
Space group I4mm (No. 107)
Inequivalent atoms, fractional coordinates:
Gd1 0.000 0.000 0.000
Zr1 0.000 0.500 0.180
Sc1 0.000 0.000 0.353
Sb1 0.000 0.000 0.544
Sb2 0.000 0.000 0.814

Record 21
Entry from the Open Quantum Materials Database: Tb2HfMo2 after structural relaxation (PBE).

Values from the calculation:
energy relative to the elements: 0.876 eV/atom
E: -7.31 eV per atom

a = 4.8902 Å, b = 4.8902 Å, c = 11.4155 Å
α = 90.00°, β = 90.00°, γ = 120.00°
Space group P6_3/mmc (No. 194)
Inequivalent atoms, fractional coordinates:
Tb1 0.3333 0.6667 0.1229
Hf1 0.0000 0.0000 0.0000
Mo1 0.3333 0.6667 0.6325

Record 22
Entry from the Open Quantum Materials Database: Na4Al2ZnCu after structural relaxation (PBE).

Values from the calculation:
E: -2.04 eV per atom

a = 4.806 Å, b = 4.806 Å, c = 6.817 Å
α = 90.00°, β = 90.00°, γ = 90.00°
Space group P-4m2 (No. 115)
Inequivalent atoms, fractional coordinates:
Na1 0.000 0.000 0.000
Na2 0.000 0.500 0.746
Na3 0.500 0.500 0.500
Al1 0.000 0.500 0.258
Zn1 0.500 0.500 0.000
Cu1 0.000 0.000 0.500

Record 23
Entry from the Open Quantum Materials Database: CsTbNiTe3 after structural relaxation (PBE).

Values from the calculation:
distance to the lowest polymorph of the same formula: 0.000 eV/atom
E: -4.32 eV per atom

a = 4.256 Å, b = 18.378 Å, c = 10.769 Å
α = 90.00°, β = 90.00°, γ = 90.00°
Space group Cmcm (No. 63)
Inequivalent atoms, fractional coordinates:
Cs1 0.000 0.243 0.250
Tb1 0.000 0.500 0.000
Ni1 0.000 0.011 0.750
Te1 0.000 0.110 0.587
Te2 0.000 0.427 0.750